{
  "formula": "Sn2Au2Cl",
  "functional": "PBE",
  "state": "optimized geometry",
  "relative_energy_mev_per_atom": 53.1,
  "space_group": "I4/mmm",
  "cell": [[-2.058, 2.058, 7.250], [2.058, -2.058, 7.250], [2.058, 2.058, -7.250]],
  "species": ["Sn", "Sn", "Au", "Au", "Cl"],
  "fractional_positions": [[0.110, 0.110, 0.000], [0.890, 0.890, 0.000], [0.250, 0.750, 0.500], [0.750, 0.250, 0.500], [0.500, 0.500, 0.000]]
}

{
  "formula": "Sn2AuCl2",
  "functional": "PBE",
  "state": "optimized geometry",
  "space_group": "P4/mbm",
  "cell": [[7.681, 0.000, 0.000], [0.000, 7.681, 0.000], [0.000, 0.000, 4.789]],
  "species": ["Sn", "Sn", "Sn", "Sn", "Au", "Au", "Cl", "Cl", "Cl", "Cl"],
  "fractional_positions": [[0.205, 0.295, 0.000], [0.295, 0.795, 0.000], [0.705, 0.205, 0.000], [0.795, 0.705, 0.000], [0.000, 0.000, 0.000], [0.500, 0.500, 0.000], [0.168, 0.668, 0.500], [0.332, 0.168, 0.500], [0.668, 0.832, 0.500], [0.832, 0.332, 0.500]]
}

{
  "formula": "Sn2Au2Cl",
  "functional": "PBE",
  "state": "optimized geometry",
  "relative_energy_mev_per_atom": 102.6,
  "space_group": "I4/mmm",
  "cell": [[-2.590, 2.590, 4.883], [2.590, -2.590, 4.883], [2.590, 2.590, -4.883]],
  "species": ["Sn", "Sn", "Au", "Au", "Cl"],
  "fractional_positions": [[0.250, 0.750, 0.500], [0.750, 0.250, 0.500], [0.140, 0.140, 0.000], [0.860, 0.860, 0.000], [0.500, 0.500, 0.000]]
}

{
  "formula": "SnAuCl",
  "functional": "PBE",
  "state": "optimized geometry",
  "space_group": "P2_1",
  "cell": [[6.447, 0.000, 0.000], [0.000, 7.254, 0.000], [-2.425, 0.000, 6.847]],
  "species": ["Sn", "Sn", "Sn", "Sn", "Au", "Au", "Au", "Au", "Cl", "Cl", "Cl", "Cl"],
  "fractional_positions": [[0.019, 0.000, 0.254], [0.083, 0.461, 0.273], [0.917, 0.961, 0.727], [0.981, 0.500, 0.746], [0.179, 0.211, 0.603], [0.190, 0.212, 0.010], [0.810, 0.712, 0.990], [0.821, 0.711, 0.397], [0.332, 0.714, 0.852], [0.387, 0.716, 0.369], [0.613, 0.216, 0.631], [0.668, 0.214, 0.148]]
}

{
  "formula": "Sn2Au2Cl",
  "functional": "PBE",
  "state": "optimized geometry",
  "relative_energy_mev_per_atom": 0.0,
  "space_group": "P4/mbm",
  "cell": [[8.134, 0.000, 0.000], [0.000, 8.134, 0.000], [0.000, 0.000, 3.603]],
  "species": ["Sn", "Sn", "Sn", "Sn", "Au", "Au", "Au", "Au", "Cl", "Cl"],
  "fractional_positions": [[0.188, 0.312, 0.000], [0.312, 0.812, 0.000], [0.688, 0.188, 0.000], [0.812, 0.688, 0.000], [0.121, 0.621, 0.500], [0.379, 0.121, 0.500], [0.621, 0.879, 0.500], [0.879, 0.379, 0.500], [0.000, 0.000, 0.000], [0.500, 0.500, 0.000]]
}

{
  "formula": "Sn2Au2Cl",
  "functional": "PBE",
  "state": "optimized geometry",
  "relative_energy_mev_per_atom": 96.8,
  "space_group": "P4/mbm",
  "cell": [[8.221, 0.000, 0.000], [0.000, 8.221, 0.000], [0.000, 0.000, 3.457]],
  "species": ["Sn", "Sn", "Sn", "Sn", "Au", "Au", "Au", "Au", "Cl", "Cl"],
  "fractional_positions": [[0.176, 0.324, 0.000], [0.324, 0.824, 0.000], [0.676, 0.176, 0.000], [0.824, 0.676, 0.000], [0.124, 0.624, 0.500], [0.376, 0.124, 0.500], [0.624, 0.876, 0.500], [0.876, 0.376, 0.500], [0.000, 0.000, 0.500], [0.500, 0.500, 0.500]]
}

{
  "formula": "SnAu2Cl8",
  "functional": "PBE",
  "state": "optimized geometry",
  "space_group": "C2/m",
  "cell": [[6.448, -4.110, 0.000], [6.448, 4.110, 0.000], [-1.128, 0.000, 7.109]],
  "species": ["Sn", "Au", "Au", "Cl", "Cl", "Cl", "Cl", "Cl", "Cl", "Cl", "Cl"],
  "fractional_positions": [[0.000, 0.000, 0.000], [0.229, 0.229, 0.752], [0.771, 0.771, 0.248], [0.097, 0.693, 0.168], [0.138, 0.138, 0.262], [0.307, 0.903, 0.832], [0.386, 0.386, 0.653], [0.614, 0.614, 0.347], [0.693, 0.097, 0.168], [0.862, 0.862, 0.738], [0.903, 0.307, 0.832]]
}

{
  "formula": "SnAu3Cl",
  "functional": "PBE",
  "state": "optimized geometry",
  "relative_energy_mev_per_atom": 0.0,
  "space_group": "Pm-3m",
  "cell": [[5.251, 0.000, 0.000], [0.000, 5.251, 0.000], [0.000, 0.000, 5.251]],
  "species": ["Sn", "Au", "Au", "Au", "Cl"],
  "fractional_positions": [[0.000, 0.000, 0.000], [0.000, 0.000, 0.500], [0.000, 0.500, 0.000], [0.500, 0.000, 0.000], [0.500, 0.500, 0.500]]
}

{
  "formula": "ZrSnAu2Cl",
  "functional": "PBE",
  "state": "optimized geometry",
  "space_group": "P4/mmm",
  "cell": [[4.991, 0.000, 0.000], [0.000, 4.991, 0.000], [0.000, 0.000, 4.760]],
  "species": ["Zr", "Sn", "Au", "Au", "Cl"],
  "fractional_positions": [[0.000, 0.000, 0.000], [0.500, 0.500, 0.000], [0.000, 0.500, 0.500], [0.500, 0.000, 0.500], [0.000, 0.000, 0.500]]
}

{
  "formula": "SrAuCl",
  "functional": "PBE",
  "state": "optimized geometry",
  "relative_energy_mev_per_atom": 57.1,
  "space_group": "I4mm",
  "cell": [[-1.868, 1.868, 6.329], [1.868, -1.868, 6.329], [1.868, 1.868, -6.329]],
  "species": ["Sr", "Au", "Cl"],
  "fractional_positions": [[0.000, 0.000, 0.000], [0.351, 0.351, 0.000], [0.620, 0.620, 0.000]]
}

{
  "formula": "SrAuCl5",
  "functional": "PBE",
  "state": "optimized geometry",
  "space_group": "C2/c",
  "cell": [[5.603, -4.071, 0.000], [5.603, 4.071, 0.000], [-4.221, 0.000, 9.281]],
  "species": ["Sr", "Sr", "Au", "Au", "Cl", "Cl", "Cl", "Cl", "Cl", "Cl", "Cl", "Cl", "Cl", "Cl"],
  "fractional_positions": [[0.070, 0.930, 0.750], [0.930, 0.070, 0.250], [0.500, 0.500, 0.000], [0.500, 0.500, 0.500], [0.158, 0.794, 0.466], [0.206, 0.842, 0.034], [0.225, 0.318, 0.903], [0.318, 0.225, 0.403], [0.443, 0.557, 0.750], [0.557, 0.443, 0.250], [0.682, 0.775, 0.597], [0.775, 0.682, 0.097], [0.794, 0.158, 0.966], [0.842, 0.206, 0.534]]
}

{
  "formula": "SrAu2Cl",
  "functional": "PBE",
  "state": "optimized geometry",
  "relative_energy_mev_per_atom": 642.9,
  "space_group": "Fm-3m",
  "cell": [[0.000, 3.705, 3.705], [3.705, 0.000, 3.705], [3.705, 3.705, 0.000]],
  "species": ["Sr", "Au", "Au", "Cl"],
  "fractional_positions": [[0.000, 0.000, 0.000], [0.250, 0.250, 0.250], [0.750, 0.750, 0.750], [0.500, 0.500, 0.500]]
}

{
  "formula": "SrAu2Cl",
  "functional": "PBE",
  "state": "optimized geometry",
  "relative_energy_mev_per_atom": 290.0,
  "space_group": "I-4m2",
  "cell": [[-2.572, 2.572, 3.630], [2.572, -2.572, 3.630], [2.572, 2.572, -3.630]],
  "species": ["Sr", "Au", "Au", "Cl"],
  "fractional_positions": [[0.000, 0.000, 0.000], [0.500, 0.500, 0.000], [0.750, 0.250, 0.500], [0.250, 0.750, 0.500]]
}

{
  "formula": "SrAuCl",
  "functional": "PBE",
  "state": "optimized geometry",
  "relative_energy_mev_per_atom": 0.0,
  "space_group": "F-43m",
  "cell": [[0.000, 3.632, 3.632], [3.632, 0.000, 3.632], [3.632, 3.632, 0.000]],
  "species": ["Sr", "Au", "Cl"],
  "fractional_positions": [[0.000, 0.000, 0.000], [0.250, 0.250, 0.250], [0.750, 0.750, 0.750]]
}

{
  "formula": "Sr2AuCl",
  "functional": "PBE",
  "state": "optimized geometry",
  "relative_energy_mev_per_atom": 120.5,
  "space_group": "Imm2",
  "cell": [[-2.021, 2.052, 7.958], [2.021, -2.052, 7.958], [2.021, 2.052, -7.958]],
  "species": ["Sr", "Sr", "Au", "Cl"],
  "fractional_positions": [[0.000, 0.000, 0.000], [0.767, 0.267, 0.500], [0.351, 0.851, 0.500], [0.592, 0.592, 0.000]]
}

{
  "formula": "Sr2AuCl",
  "functional": "PBE",
  "state": "optimized geometry",
  "relative_energy_mev_per_atom": 45.8,
  "space_group": "P2/m",
  "cell": [[4.035, 0.000, 0.000], [0.000, 3.853, 0.000], [-0.065, 0.000, 8.350]],
  "species": ["Sr", "Sr", "Au", "Cl"],
  "fractional_positions": [[0.003, 0.000, 0.217], [0.997, 0.000, 0.783], [0.500, 0.500, 0.000], [0.000, 0.500, 0.500]]
}

{
  "formula": "SrAu2Cl",
  "functional": "PBE",
  "state": "optimized geometry",
  "relative_energy_mev_per_atom": 0.0,
  "space_group": "Pm",
  "cell": [[3.940, 0.000, 0.000], [0.000, 3.937, 0.000], [-0.162, 0.000, 6.980]],
  "species": ["Sr", "Au", "Au", "Cl"],
  "fractional_positions": [[0.000, 0.000, 0.000], [0.016, 0.500, 0.357], [0.516, 0.000, 0.357], [0.494, 0.500, 0.843]]
}

{
  "formula": "SrAu2Cl",
  "functional": "PBE",
  "state": "optimized geometry",
  "relative_energy_mev_per_atom": 56.1,
  "space_group": "Immm",
  "cell": [[-2.025, 2.034, 5.838], [2.025, -2.034, 5.838], [2.025, 2.034, -5.838]],
  "species": ["Sr", "Au", "Au", "Cl"],
  "fractional_positions": [[0.000, 0.000, 0.000], [0.250, 0.750, 0.500], [0.750, 0.250, 0.500], [0.500, 0.500, 0.000]]
}

{
  "formula": "Sr2AuCl",
  "functional": "PBE",
  "state": "optimized geometry",
  "relative_energy_mev_per_atom": 110.1,
  "space_group": "Cmmm",
  "cell": [[2.692, -2.705, 0.000], [2.692, 2.705, 0.000], [0.000, 0.000, 8.154]],
  "species": ["Sr", "Sr", "Au", "Cl"],
  "fractional_positions": [[0.000, 0.000, 0.226], [0.000, 0.000, 0.774], [0.500, 0.500, 0.000], [0.500, 0.500, 0.500]]
}

{
  "formula": "SrAu3Cl",
  "functional": "PBE",
  "state": "optimized geometry",
  "relative_energy_mev_per_atom": 433.0,
  "space_group": "Pm-3m",
  "cell": [[5.862, 0.000, 0.000], [0.000, 5.862, 0.000], [0.000, 0.000, 5.862]],
  "species": ["Sr", "Au", "Au", "Au", "Cl"],
  "fractional_positions": [[0.000, 0.000, 0.000], [0.000, 0.000, 0.500], [0.000, 0.500, 0.000], [0.500, 0.000, 0.000], [0.500, 0.500, 0.500]]
}

| no. | size of the total moment (μB/cell) | mass density (Mg/m³) | ΔE_f (raw) (kJ/mol of formula units) |
| --- | --- | --- | --- |
| 1 | 0.0 | 9.01 | -92 |
| 2 | 0.0 | 5.94 | -217 |
| 3 | 0.0 | 8.45 | -68 |
| 4 | 0.0 | 7.28 | -112 |
| 5 | 0.0 | 9.29 | -117 |
| 6 | 0.0 | 9.48 | -71 |
| 7 | 2.0 | 3.51 | -436 |
| 8 | 0.0 | 8.55 | 244 |
| 9 | 0.0 | 8.95 | 205 |
| 10 | 0.0 | 6.01 | -368 |
| 11 | 0.0 | 3.62 | -728 |
| 12 | 0.0 | 8.44 | -151 |
| 13 | 0.0 | 8.94 | -287 |
| 14 | 0.0 | 5.54 | -384 |
| 15 | 0.0 | 5.13 | -442 |
| 16 | 0.0 | 5.21 | -470 |
| 17 | 0.0 | 7.93 | -399 |
| 18 | 0.0 | 8.92 | -377 |
| 19 | 0.0 | 5.70 | -446 |
| 20 | 2.0 | 5.89 | 315 |